Record 1
Computed, not measured: crystalline AlCdCo at its relaxed geometry at the GGA-PBEsol level of DFT.

Offset from the most stable computed form   0 meV per atom
ΔE_f   -0.086 eV/atom
Calculated total energy   -4.43 eV per atom
Spin magnetization   0.44 μB/f.u.
ρ   7.55 Mg/m³

a b c (Å): 2.9837 2.9837 9.7950
angles (deg): 90.00 90.00 90.00
Space group I4mm (No. 107)
Unique sites:
Al 0.0000 0.0000 0.0000
Cd 0.0000 0.0000 0.7081
Co 0.0000 0.0000 0.3877

***

Record 2
Computed, not measured: crystalline KLaRe at its relaxed geometry at the GGA-PBEsol level of DFT.

ΔE_f   1.049 eV/atom
Calculated total energy   -5.55 eV per atom
Spin magnetization   0.00 μB/f.u.
ρ   6.75 Mg/m³

a b c (Å): 3.3627 3.3627 15.8543
angles (deg): 90.00 90.00 90.00
Space group I4mm (No. 107)
Unique sites:
K 0.0000 0.0000 0.0000
La 0.0000 0.0000 0.7459
Re 0.0000 0.0000 0.3498